(1)
PBE B4Ir5Ru, optimized geometry; mass density = 15.498 g/cm³; E_form = -0.230 eV per atom; E = -8.2592 eV/atom; space group = C2/m (12)
1.0
7.798 -1.416 0.000
7.798 1.416 0.000
-2.128 0.000 5.365
B Ir Ru
4 5 1
direct
0.065 0.065 0.317
0.377 0.377 0.127
0.623 0.623 0.873
0.935 0.935 0.683
0.170 0.170 0.668
0.171 0.171 0.174
0.500 0.500 0.000
0.829 0.829 0.826
0.830 0.830 0.332
0.500 0.500 0.500


(2)
PBE BIrRu2, optimized geometry; mass density = 10.236 g/cm³; E_form = 0.742 eV per atom; E = -7.7807 eV/atom; space group = I-42d (122)
1.0
-2.544 2.544 5.080
2.544 -2.544 5.080
2.544 2.544 -5.080
B Ir Ru
2 2 4
direct
0.000 0.000 0.000
0.750 0.250 0.500
0.250 0.750 0.500
0.500 0.500 0.000
0.063 0.625 0.938
0.375 0.313 0.438
0.687 0.125 0.062
0.875 0.937 0.562


(3)
PBE BIrRu2, optimized geometry; mass density = 13.575 g/cm³; E_form = 0.027 eV per atom; E = -8.4952 eV/atom; space group = R3m (160)
1.0
1.411 0.815 7.183
-1.411 0.815 7.183
0.000 -1.630 7.183
B Ir Ru
1 1 2
direct
0.000 0.000 0.000
0.836 0.836 0.836
0.398 0.398 0.398
0.603 0.603 0.603


(4)
PBE B2IrRu, optimized geometry; mass density = 12.395 g/cm³; E_form = -0.276 eV per atom; E = -8.1484 eV/atom; space group = P-6m2 (187)
1.0
2.951 0.000 0.000
-1.476 2.556 0.000
0.000 0.000 5.594
B Ir Ru
2 1 1
direct
0.000 0.000 0.246
0.000 0.000 0.754
0.667 0.333 0.500
0.667 0.333 0.000


(5)
PBE B2Ir2Ru, optimized geometry; mass density = 13.728 g/cm³; E_form = 0.296 eV per atom; E = -7.7747 eV/atom; space group = I4/mmm (139)
1.0
-1.892 1.892 4.282
1.892 -1.892 4.282
1.892 1.892 -4.282
B Ir Ru
2 2 1
direct
0.250 0.750 0.500
0.750 0.250 0.500
0.143 0.143 0.000
0.857 0.857 0.000
0.500 0.500 0.000


(6)
PBE B2IrRuS, optimized geometry; mass density = 8.994 g/cm³; formation energy without anion corrections = 750 kJ/mol of formula units; E = -5.5692 eV/atom; space group = P4/mmm (123)
1.0
3.820 0.000 0.000
0.000 3.820 0.000
0.000 0.000 4.390
B Ir Ru S
2 1 1 1
direct
0.000 0.500 0.000
0.500 0.000 0.000
0.000 0.000 0.500
0.500 0.500 0.500
0.500 0.500 0.000


(7)
PBE ScBIrRu2, optimized geometry; mass density = 10.611 g/cm³; E_form = -0.483 eV per atom; E = -8.5670 eV/atom; space group = P4/mmm (123)
1.0
4.135 0.000 0.000
0.000 4.135 0.000
0.000 0.000 4.120
Sc B Ir Ru
1 1 1 2
direct
0.000 0.000 0.000
0.500 0.500 0.500
0.500 0.500 0.000
0.000 0.500 0.500
0.500 0.000 0.500


(8)
PBE Sc2B2IrRu5, optimized geometry; mass density = 9.924 g/cm³; E_form = -0.473 eV per atom; E = -8.5986 eV/atom; space group = P4/mbm (127)
1.0
9.531 0.000 0.000
0.000 9.531 0.000
0.000 0.000 2.981
Sc B Ir Ru
4 4 2 10
direct
0.176 0.324 0.000
0.324 0.824 0.000
0.676 0.176 0.000
0.824 0.676 0.000
0.121 0.621 0.000
0.379 0.121 0.000
0.621 0.879 0.000
0.879 0.379 0.000
0.000 0.000 0.000
0.500 0.500 0.000
0.000 0.500 0.500
0.072 0.780 0.500
0.220 0.072 0.500
0.280 0.572 0.500
0.428 0.280 0.500
0.500 0.000 0.500
0.572 0.720 0.500
0.720 0.428 0.500
0.780 0.928 0.500
0.928 0.220 0.500